Record 1
## Th2Tc3Ge5 (PBE)

Data for a relaxed structure of Th2Tc3Ge5.

Unit cell a=10.0211 b=12.7960 c=5.9118 alpha=90.00 beta=90.00 gamma=90.00
With the nearest neighbours (Å) after each atom.
Space group Ibam (No. 72)
Symmetry-distinct sites (fractional):
Th 0.2328 0.1372 0.0000  9 Ge 3.05-3.41, 4 Tc 3.24-3.28
Tc 0.0000 0.5000 0.2500  6 Ge 2.56-2.64
Tc 0.0911 0.1503 0.5000  5 Ge 2.47-2.59
Ge 0.0000 0.0000 0.2500  4 Tc 2.59
Ge 0.0000 0.2934 0.2500  3 Tc 2.52-2.64, 2 Ge 2.74
Ge 0.1745 0.4105 0.0000  3 Tc 2.47-2.56, 2 Ge 2.74

Properties
Final energy (Ry per atom): -0.54637
DOS at the Fermi energy (states/eV/cell): 28.480
Calculated formation energy (eV per atom): -0.53



Record 2
## BaSiPb2 (PBE)

Data for a relaxed structure of BaSiPb2.

Unit cell a=4.1247 b=4.1567 c=7.3577 alpha=90.00 beta=90.00 gamma=90.00
With the nearest neighbours (Å) after each atom.
Space group Pmm2 (No. 25)
Symmetry-distinct sites (fractional):
Ba 0.0000 0.0000 0.0000  5 Pb 3.39-3.76, 4 Si 3.64
Si 0.5000 0.5000 0.7051  5 Pb 2.83-3.17
Pb 0.0000 0.0000 0.5386  4 Si 3.17, 4 Pb 3.34, 1 Ba 3.39
Pb 0.5000 0.5000 0.3198  1 Si 2.83

Properties
E_form (uncorrected) (eV/atom): -0.06
Final energy (Ry per atom): -0.27546
DOS at the Fermi energy (states/eV/cell): 2.863



Record 3
## AlGa7 (PBE)

Data for a relaxed structure of AlGa7.

Unit cell a=8.4115 b=8.4115 c=8.4115 alpha=90.00 beta=90.00 gamma=90.00
With the nearest neighbours (Å) after each atom.
Space group Fm-3m (No. 225)
Symmetry-distinct sites (fractional):
Al 0.0000 0.0000 0.0000  12 Ga 2.97
Ga 0.0000 0.0000 0.5000  12 Ga 2.97
Ga 0.0000 0.2500 0.2500  2 Al 2.97, 10 Ga 2.97

Properties
Final energy (Ry per atom): -0.22797
DOS at the Fermi energy (states/eV/cell): 13.007
Calculated formation energy (eV per atom): 0.01



Record 4
## NdHoSe2Cl (PBE)

Data for a relaxed structure of NdHoSe2Cl.

Unit cell a=4.1645 b=4.1645 c=14.0870 alpha=90.00 beta=90.00 gamma=90.00
With the nearest neighbours (Å) after each atom.
Space group P4/nmm (No. 129, origin choice 2)
Symmetry-distinct sites (fractional):
Nd 0.2500 0.2500 0.1468  4 Cl 2.93, 4 Se 3.06
Ho 0.2500 0.2500 0.5898  6 Se 2.87-2.97
Se 0.2500 0.2500 0.3841  5 Ho 2.90-2.97
Se 0.2500 0.2500 0.7934  1 Ho 2.87, 4 Nd 3.06
Cl 0.2500 0.7500 0.0000  4 Nd 2.93, 4 Cl 2.94

Properties
E_form (uncorrected) (eV/atom): -1.87
Final energy (Ry per atom): -0.40405
DOS at the Fermi energy (states/eV/cell): 3.282



Record 5
## Na5Tl2F12 (PBE)

Data for a relaxed structure of Na5Tl2F12.

Unit cell a=10.9929 b=6.7600 c=8.3363 alpha=90.00 beta=102.48 gamma=90.00
With the nearest neighbours (Å) after each atom.
Space group C2/m (No. 12)
Symmetry-distinct sites (fractional):
Na 0.0000 0.0000 0.0000  4 F 2.28
Na 0.2003 0.5000 0.2108  5 F 2.28-2.32
Na 0.2010 0.5000 0.8501  6 F 2.36-2.49
Tl 0.0000 0.2448 0.5000  6 F 2.10-2.28
F 0.0360 0.5000 0.3381  2 Tl 2.28, 1 Na 2.28
F 0.0421 0.0000 0.3360  2 Tl 2.26
F 0.1420 0.2503 0.0209  4 Na 2.28-2.49, 1 F 2.47
F 0.1814 0.2529 0.6465  1 Tl 2.10, 1 Na 2.32

Properties
E_form (uncorrected) (eV/atom): -2.18
Final energy (Ry per atom): -0.29074
DOS at the Fermi energy (states/eV/cell): 5.899



Record 6
## MgScBeHg (PBE)

Data for a relaxed structure of MgScBeHg.

Unit cell a=6.6416 b=6.6416 c=6.6416 alpha=90.00 beta=90.00 gamma=90.00
With the nearest neighbours (Å) after each atom.
Space group F-43m (No. 216)
Symmetry-distinct sites (fractional):
Mg 0.0000 0.0000 0.0000  4 Hg 2.88, 4 Be 2.88
Sc 0.0000 0.0000 0.5000  4 Be 2.88, 4 Hg 2.88
Be 0.2500 0.2500 0.2500  4 Mg 2.88, 4 Sc 2.88
Hg 0.2500 0.2500 0.7500  4 Sc 2.88, 4 Mg 2.88

Properties
Final energy (Ry per atom): -0.22612
DOS at the Fermi energy (states/eV/cell): 9.536
Calculated formation energy (eV per atom): -0.09



Record 7
## TlTc3 (PBE)

Data for a relaxed structure of TlTc3.

Unit cell a=5.7440 b=5.7440 c=9.1831 alpha=90.00 beta=90.00 gamma=120.00
With the nearest neighbours (Å) after each atom.
Space group P6_3/mmc (No. 194)
Symmetry-distinct sites (fractional):
Tl 0.0000 0.0000 0.0000  12 Tc 2.87-2.91
Tl 0.3333 0.6667 0.2500  12 Tc 2.83-2.87
Tc 0.0000 0.5000 0.0000  8 Tc 2.80-2.87, 4 Tl 2.83-2.87
Tc 0.1796 0.3592 0.7500  6 Tc 2.65-2.80, 4 Tl 2.87-2.91

Properties
Final energy (Ry per atom): -0.56710
DOS at the Fermi energy (states/eV/cell): 23.285
Calculated formation energy (eV per atom): 0.65
Excess energy over the best structure of this formula in the dataset (meV/atom): 236



Record 8
## YGa4Cu2Ru (PBE)

Data for a relaxed structure of YGa4Cu2Ru.

Unit cell a=4.1630 b=4.1630 c=26.7510 alpha=90.00 beta=90.00 gamma=120.00
With the nearest neighbours (Å) after each atom.
Space group R-3m (No. 166, hexagonal axes)
Symmetry-distinct sites (fractional):
Y 0.0000 0.0000 0.0000  6 Ga 3.00
Ga 0.0000 0.0000 0.1304  4 Cu 2.55-2.78, 3 Ru 2.59
Ga 0.0000 0.0000 0.4007  3 Cu 2.55, 1 Ru 2.66
Cu 0.0000 0.0000 0.2345  7 Ga 2.55-2.78
Ru 0.0000 0.0000 0.5000  8 Ga 2.59-2.66

Properties
Final energy (Ry per atom): -0.35328
DOS at the Fermi energy (states/eV/cell): 10.343
Calculated formation energy (eV per atom): -0.30



Record 9
## Nd8Cu2Hg (PBE)

Data for a relaxed structure of Nd8Cu2Hg.

Unit cell a=18.3509 b=5.2239 c=7.2014 alpha=90.00 beta=108.17 gamma=90.00
With the nearest neighbours (Å) after each atom.
Space group C2/m (No. 12)
Symmetry-distinct sites (fractional):
Nd 0.0331 0.0000 0.2686  1 Cu 2.86
Nd 0.0925 0.5000 0.9703  1 Hg 3.28, 2 Cu 3.29, 6 Nd 3.54-3.56
Nd 0.1755 0.5000 0.4887  1 Cu 2.81
Nd 0.1955 0.0000 0.8331  1 Cu 2.86
Cu 0.1816 0.0000 0.2176  3 Nd 2.81-2.86
Hg 0.0000 0.5000 0.5000  8 Nd 3.25-3.28

Properties
Final energy (Ry per atom): -0.31995
DOS at the Fermi energy (states/eV/cell): 22.165
Calculated formation energy (eV per atom): -0.11
Excess energy over the best structure of this formula in the dataset (meV/atom): 0



Record 10
## Ca4AlN (PBE)

Data for a relaxed structure of Ca4AlN.

Unit cell a=5.0590 b=17.9465 c=7.0040 alpha=90.00 beta=90.00 gamma=90.00
With the nearest neighbours (Å) after each atom.
Space group Cmcm (No. 63)
Symmetry-distinct sites (fractional):
Ca 0.0000 0.0000 0.0000  2 N 2.44
Ca 0.0000 0.1818 0.0075  1 N 2.31
Ca 0.0000 0.4138 0.7500  2 N 2.53
Al 0.0000 0.3816 0.2500  7 Ca 3.31-3.67
N 0.0000 0.0943 0.2500  6 Ca 2.31-2.53

Properties
E_form (uncorrected) (eV/atom): -0.45
Final energy (Ry per atom): -0.27886
DOS at the Fermi energy (states/eV/cell): 7.090



Record 11
## As2OsSe (PBE)

Data for a relaxed structure of As2OsSe.

Unit cell a=3.0002 b=4.5305 c=11.0680 alpha=90.00 beta=90.00 gamma=90.00
With the nearest neighbours (Å) after each atom.
Space group Immm (No. 71)
Symmetry-distinct sites (fractional):
As 0.0000 0.0000 0.1877  2 Os 2.56
Os 0.0000 0.5000 0.5000  4 As 2.56, 4 Se 2.72
Se 0.0000 0.5000 0.0000  4 Os 2.72, 2 Se 3.00

Properties
E_form (uncorrected) (eV/atom): 0.39
Final energy (Ry per atom): -0.41289
DOS at the Fermi energy (states/eV/cell): 5.371
Excess energy over the best structure of this formula in the dataset (meV/atom): 288



Record 12
## CaDySb2O8 (PBE)

Data for a relaxed structure of CaDySb2O8.

Unit cell a=5.3186 b=5.3186 c=11.1576 alpha=90.00 beta=90.00 gamma=90.00
With the nearest neighbours (Å) after each atom.
Space group I-4 (No. 82)
Symmetry-distinct sites (fractional):
Ca 0.0000 0.0000 0.0000  8 O 2.40-2.47
Dy 0.0000 0.5000 0.7500  8 O 2.35-2.40
Sb 0.0000 0.0000 0.5000  4 O 1.93
Sb 0.0000 0.5000 0.2500  4 O 1.93
O 0.1793 0.2484 0.5927  1 Sb 1.93
O 0.1906 0.7450 0.1612  1 Sb 1.93

Properties
E_form (uncorrected) (eV/atom): -2.01
Final energy (Ry per atom): -0.48191
DOS at the Fermi energy (states/eV/cell): 14.354



Record 13
## Pu4CuGe8 (PBE)

Data for a relaxed structure of Pu4CuGe8.

Unit cell a=4.0205 b=4.2044 c=15.8906 alpha=90.00 beta=90.00 gamma=90.00
With the nearest neighbours (Å) after each atom.
Space group Pmm2 (No. 25)
Symmetry-distinct sites (fractional):
Pu 0.0000 0.0000 0.0000  10 Ge 2.97-3.10
Pu 0.0000 0.5000 0.4840  10 Ge 3.00-3.26
Pu 0.5000 0.0000 0.7936  10 Ge 3.08-3.42, 4 Cu 3.21
Pu 0.5000 0.5000 0.2878  10 Ge 2.98-3.15
Cu 0.0000 0.5000 0.7082  5 Ge 2.38-2.48
Ge 0.0000 0.0000 0.3272  2 Ge 2.65
Ge 0.0000 0.0000 0.6251  2 Cu 2.48
Ge 0.0000 0.5000 0.1398  4 Ge 2.91, 4 Pu 3.06-3.09
Ge 0.0000 0.5000 0.8578  1 Cu 2.38, 2 Ge 2.60
Ge 0.5000 0.0000 0.1482  4 Ge 2.91, 4 Pu 3.06-3.10
Ge 0.5000 0.0000 0.4357  2 Ge 2.65
Ge 0.5000 0.5000 0.6240  2 Cu 2.42
Ge 0.5000 0.5000 0.9613  2 Ge 2.60

Properties
Final energy (Ry per atom): -0.57947
DOS at the Fermi energy (states/eV/cell): 38.782
Calculated formation energy (eV per atom): -0.32



Record 14
## TbSmCuRu (PBE)

Data for a relaxed structure of TbSmCuRu.

Unit cell a=6.9523 b=6.9523 c=6.9523 alpha=90.00 beta=90.00 gamma=90.00
With the nearest neighbours (Å) after each atom.
Space group F-43m (No. 216)
Symmetry-distinct sites (fractional):
Tb 0.0000 0.0000 0.0000  4 Ru 3.01, 4 Cu 3.01
Sm 0.0000 0.0000 0.5000  4 Cu 3.01, 4 Ru 3.01
Cu 0.2500 0.2500 0.7500  4 Tb 3.01, 4 Sm 3.01
Ru 0.2500 0.2500 0.2500  4 Tb 3.01, 4 Sm 3.01

Properties
Final energy (Ry per atom): -0.43704
DOS at the Fermi energy (states/eV/cell): 12.324
Calculated formation energy (eV per atom): -0.27
Excess energy over the best structure of this formula in the dataset (meV/atom): 0



Record 15
## Rb5Au3 (PBE)

Data for a relaxed structure of Rb5Au3.

Unit cell a=9.0292 b=9.0292 c=16.9543 alpha=90.00 beta=90.00 gamma=90.00
With the nearest neighbours (Å) after each atom.
Space group P4/ncc (No. 130, origin choice 2)
Symmetry-distinct sites (fractional):
Rb 0.0693 0.5823 0.1070  5 Au 3.56-3.81
Rb 0.2500 0.2500 0.2352  5 Au 3.65-3.81, 4 Rb 4.05
Au 0.1366 0.6366 0.7500  1 Au 2.90
Au 0.2500 0.2500 0.0102  9 Rb 3.79-3.81

Properties
Final energy (Ry per atom): -0.15270
DOS at the Fermi energy (states/eV/cell): 10.056
Calculated formation energy (eV per atom): -0.24
Excess energy over the best structure of this formula in the dataset (meV/atom): 0



Record 16
## Na2CaCl (PBE)

Data for a relaxed structure of Na2CaCl.

Unit cell a=8.2627 b=8.2627 c=8.2627 alpha=90.00 beta=90.00 gamma=90.00
With the nearest neighbours (Å) after each atom.
Space group Fm-3m (No. 225)
Symmetry-distinct sites (fractional):
Na 0.2500 0.2500 0.2500  4 Cl 3.58, 4 Ca 3.58
Ca 0.0000 0.0000 0.0000  8 Na 3.58
Cl 0.0000 0.0000 0.5000  8 Na 3.58

Properties
E_form (uncorrected) (eV/atom): -0.24
Final energy (Ry per atom): -0.13715
DOS at the Fermi energy (states/eV/cell): 17.476
Excess energy over the best structure of this formula in the dataset (meV/atom): 481



Record 17
## CrCo3 (PBE)

Data for a relaxed structure of CrCo3.

Unit cell a=2.5007 b=3.9700 c=4.3216 alpha=90.00 beta=90.00 gamma=90.00
With the nearest neighbours (Å) after each atom.
Space group Pmm2 (No. 25)
Symmetry-distinct sites (fractional):
Cr 0.0000 0.0000 0.0000  10 Co 2.45-2.52, 2 Cr 2.50
Co 0.0000 0.5000 0.6683  2 Cr 2.45, 10 Co 2.45-2.51
Co 0.5000 0.0000 0.5056  8 Co 2.45-2.50, 4 Cr 2.48-2.52
Co 0.5000 0.5000 0.1716  8 Co 2.45-2.51, 4 Cr 2.46

Properties
Final energy (Ry per atom): -0.56433
DOS at the Fermi energy (states/eV/cell): 4.753
Calculated formation energy (eV per atom): 0.06
Excess energy over the best structure of this formula in the dataset (meV/atom): 62



Record 18
## Hf12Ta3Au5 (PBE)

Data for a relaxed structure of Hf12Ta3Au5.

Unit cell a=16.1238 b=16.1238 c=16.1238 alpha=90.00 beta=90.00 gamma=90.00
With the nearest neighbours (Å) after each atom.
Space group Ia-3d (No. 230)
Symmetry-distinct sites (fractional):
Hf 0.0111 0.0753 0.6530  2 Au 2.70-2.75, 2 Ta 2.86-2.96, 1 Hf 2.94
Ta 0.0000 0.2500 0.1250  8 Hf 2.86-2.96
Au 0.0000 0.0000 0.0000  6 Hf 2.75
Au 0.0000 0.2500 0.3750  4 Hf 2.70

Properties
Final energy (Ry per atom): -0.59893
DOS at the Fermi energy (states/eV/cell): 190.157
Calculated formation energy (eV per atom): 0.42